Computed, not measured: a relaxed structure of Ca2LaIr2 at the PBE level of DFT.

The structure in extended XYZ format:
```
10
Lattice="-5.159 -1.362 5.027 -0.061 -7.060 -1.976 3.293 -0.906 3.135" Properties=species:S:1:pos:R:3 pbc="T T T"
Ca 0.757 -5.369 1.082
Ca -1.834 -7.256 3.258
Ca -2.684 -3.959 5.104
Ca -0.094 -2.072 2.928
Ir -2.001 -6.708 0.163
Ir -4.565 -5.591 3.180
Ir -3.220 -1.714 2.888
Ir -0.656 -2.831 -0.129
La 0.000 0.000 0.000
La -2.610 -4.211 1.526
```

Results
- Excess energy over the best structure of this formula in the dataset: 62 meV/atom
- ΔH_f (0 K): -0.379 eV per atom
- DOS at the Fermi energy: 8.88 states/eV/cell



Computed, not measured: a relaxed structure of Mn2CoB2 at the PBE level of DFT.

The structure in extended XYZ format:
```
10
Lattice="-0.793 -1.501 4.905 3.890 -3.410 -0.415 2.013 2.176 0.992" Properties=species:S:1:pos:R:3 pbc="T T T"
B 3.121 -3.570 1.497
B 1.716 -3.436 4.057
B -0.024 -1.342 2.992
B 1.382 -1.475 0.432
Mn 3.488 -1.467 1.065
Mn 3.691 -2.743 3.453
Mn 1.623 -1.269 4.416
Mn 1.420 0.007 2.028
Co 0.000 0.000 0.000
Co 1.549 -2.456 2.245
```

Results
- Excess energy over the best structure of this formula in the dataset: 0 meV/atom
- ΔH_f (0 K): -0.331 eV per atom
- DOS at the Fermi energy: 15.89 states/eV/cell



Computed, not measured: a relaxed structure of Ba4HgPBr2 at the PBE level of DFT.

The structure in extended XYZ format:
```
8
Lattice="-2.902 -2.692 -2.568 4.498 -6.880 2.128 -6.134 1.077 5.803" Properties=species:S:1:pos:R:3 pbc="T T T"
Ba -1.680 -2.893 0.597
Ba -2.858 -5.601 4.767
Ba -3.565 -1.044 5.124
Ba 1.930 -4.759 2.807
Hg 0.000 0.000 0.000
P 0.798 -4.786 -0.220
Br -4.518 -0.807 1.618
Br -0.818 -2.902 3.966
```

Results
- Formation energy without anion corrections: -1.24 eV/atom
- DOS at the Fermi energy: 4.39 states/eV/cell



Computed, not measured: a relaxed structure of CsPr2AuSe4 at the PBE level of DFT.

The structure in extended XYZ format:
```
16
Lattice="-2.958 -2.849 1.466 3.011 -3.154 -6.541 10.679 -6.857 8.223" Properties=species:S:1:pos:R:3 pbc="T T T"
Cs 8.368 -6.215 4.807
Cs 2.364 -6.645 -1.659
Pr 7.175 -7.256 0.377
Pr -0.369 -3.084 -0.252
Pr 3.557 -5.605 2.771
Pr 11.101 -9.777 3.400
Au 7.580 -9.705 2.920
Au 3.152 -3.156 0.228
Se 1.908 -3.089 -2.154
Se 5.712 -7.773 2.905
Se 8.824 -9.772 5.302
Se 5.020 -5.088 0.243
Se 5.339 -3.429 4.111
Se 0.000 0.000 0.000
Se 9.355 -9.166 1.064
Se 1.377 -3.694 2.084
```

Results
- Formation energy without anion corrections: -1.45 eV/atom



Computed, not measured: a relaxed structure of CuSb at the PBE level of DFT.

The structure in extended XYZ format:
```
6
Lattice="-2.847 -5.652 -1.288 -0.143 -5.803 -2.832 2.795 -2.413 5.129" Properties=species:S:1:pos:R:3 pbc="T T T"
Cu 0.909 -4.464 2.027
Cu -1.526 -9.867 -1.710
Cu -0.490 -8.161 -0.062
Sb -2.611 -11.710 -3.430
Sb -1.046 -12.399 -0.623
Sb -0.645 -2.535 -0.882
```

Results
- Formation energy without anion corrections: 0.16 eV/atom
- DOS at the Fermi energy: 1.90 states/eV/cell



Computed, not measured: a relaxed structure of Pr6Dy3Th2 at the PBE level of DFT.

The structure in extended XYZ format:
```
11
Lattice="5.998 0.000 1.795 2.999 5.426 0.897 -1.297 0.000 11.708" Properties=species:S:1:pos:R:3 pbc="T T T"
Pr 3.540 3.620 10.080
Pr 3.536 0.000 10.083
Pr 0.541 1.805 9.183
Pr 1.164 0.000 3.419
Pr 4.159 1.805 4.320
Pr 7.158 3.620 5.217
Dy 0.000 0.000 0.000
Dy 2.999 1.798 0.897
Dy 5.998 3.628 1.795
Th 2.350 3.617 6.751
Th 5.349 1.809 7.649
```

Results
- ΔH_f (0 K): 0.220 eV per atom
- DOS at the Fermi energy: 17.03 states/eV/cell



Computed, not measured: a relaxed structure of Pm2Dy3Cd3 at the PBE level of DFT.

The structure in extended XYZ format:
```
8
Lattice="4.930 0.000 0.000 0.000 4.925 0.000 0.000 0.000 9.260" Properties=species:S:1:pos:R:3 pbc="T T T"
Pm 0.000 0.000 6.868
Pm 0.000 0.000 2.392
Dy 2.465 2.463 6.758
Dy 2.465 2.463 2.502
Dy 2.465 0.000 0.000
Cd 2.465 0.000 4.630
Cd 0.000 2.463 0.000
Cd 0.000 2.463 4.630
```

Results
- Excess energy over the best structure of this formula in the dataset: 52 meV/atom
- ΔH_f (0 K): -0.178 eV per atom
- DOS at the Fermi energy: 10.19 states/eV/cell



Computed, not measured: a relaxed structure of RbCaSiTe at the PBE level of DFT.

The structure in extended XYZ format:
```
8
Lattice="-3.195 2.112 -0.855 0.037 -1.756 -4.474 -8.729 -11.503 4.443" Properties=species:S:1:pos:R:3 pbc="T T T"
Rb -0.993 -0.536 0.202
Rb -5.339 -7.166 0.187
Ca -4.953 -2.557 0.963
Ca -9.299 -9.187 0.947
Si -7.770 -9.429 3.637
Si -3.387 -4.556 -0.822
Te -8.114 -6.746 2.581
Te -3.731 -1.873 -1.878
```

Results
- Formation energy without anion corrections: -0.39 eV/atom
- Excess energy over the best structure of this formula in the dataset: 130 meV/atom
- DOS at the Fermi energy: 5.26 states/eV/cell